(1)
This record from Alexandria describes an optimized crystal structure of Ce2UO8. The functional is PBE-GGA.

Values from the calculation:
The size of the total moment is 0.190 μB per atom. The raw formation energy is -261.88 kJ/mol of atoms. The energy comes out at -8.425 eV per atom. The calculation puts the calculated density at 6.20 g cm⁻³. Its density of states at the Fermi level is 0.582 states/eV/atom.

abc: 12.6968 3.8592 7.1093
angles: 90.00 96.11 90.00
Space group C2/m (No. 12)
Symmetry-distinct sites (fractional):
Ce 0.2444 0.0000 0.2318 x4
U 0.0000 0.5000 0.0000 x2
O 0.0699 0.5000 0.7737 x4
O 0.0719 0.0000 0.1326 x4
O 0.2013 0.5000 0.0864 x4
O 0.2082 0.0000 0.5458 x4


(2)
This record from Alexandria describes an optimized crystal structure of CeUO4. The functional is PBE-GGA.

Values from the calculation:
The size of the total moment is 0.336 μB per atom. The raw formation energy is -330.69 kJ/mol of atoms. The energy comes out at -9.603 eV per atom. The calculation puts the calculated density at 9.10 g cm⁻³. Its density of states at the Fermi level is 1.540 states/eV/atom.

abc: 3.8379 3.8379 5.4758
angles: 90.00 90.00 90.00
Space group P4/mmm (No. 123)
Symmetry-distinct sites (fractional):
Ce 0.0000 0.0000 0.0000 x1
U 0.5000 0.5000 0.5000 x1
O 0.0000 0.5000 0.2616 x4